No. 1
Material: Y3Ni
Method: DFT, PBE
State: optimized geometry

Cell: 6.943 6.943 4.802 Å, 90.00 90.00 120.00°
Fractional positions:
Y1 0.181 0.361 0.250
Y2 0.181 0.819 0.250
Y3 0.361 0.181 0.750
Y4 0.639 0.819 0.250
Y5 0.819 0.181 0.750
Y6 0.819 0.639 0.750
Ni1 0.333 0.667 0.750
Ni2 0.667 0.333 0.250

Values from the calculation:
As for the formation energy from the elements: 0.071 eV per atom. The space group is P6_3/mmc. The spin magnetization comes out at 0.0 μB per formula unit. The crystal system is hexagonal. The calculation puts the total DFT energy (no corrections) at -49.4 eV per cell.

=====

No. 2
Material: PrMg2S3
Method: DFT, PBE
State: optimized geometry

Cell: 3.779 3.779 9.698 Å, 90.00 90.00 120.00°
Fractional positions:
Pr1 0.000 0.000 0.000
Mg1 0.333 0.667 0.654
Mg2 0.667 0.333 0.346
S1 0.000 0.000 0.500
S2 0.333 0.667 0.198
S3 0.667 0.333 0.802

Values from the calculation:
The space group is P-3m1. The spin magnetization comes out at 0.0 μB per formula unit. The crystal system is trigonal. The calculation puts the total DFT energy (no corrections) at -29.5 eV per cell.

=====

No. 3
Material: Nb2W4Au3N3
Method: DFT, PBE
State: optimized geometry

Cell: 5.508 5.508 13.467 Å, 101.76 101.76 60.39°
Fractional positions:
Nb1 0.029 0.856 0.602
Nb2 0.144 0.971 0.898
Nb3 0.856 0.029 0.102
Nb4 0.971 0.144 0.398
W1 0.191 0.368 0.075
W2 0.317 0.464 0.425
W3 0.368 0.191 0.575
W4 0.464 0.317 0.925
W5 0.536 0.683 0.075
W6 0.632 0.809 0.425
W7 0.683 0.536 0.575
W8 0.809 0.632 0.925
Au1 0.081 0.307 0.745
Au2 0.307 0.081 0.245
Au3 0.476 0.524 0.750
Au4 0.524 0.476 0.250
Au5 0.693 0.919 0.755
Au6 0.919 0.693 0.255
N1 0.000 0.500 0.500
N2 0.153 0.698 0.999
N3 0.302 0.847 0.501
N4 0.500 0.000 0.000
N5 0.698 0.153 0.499
N6 0.847 0.302 0.001

Values from the calculation:
The space group is C2/c. The spin magnetization comes out at 0.0 μB per formula unit. The crystal system is monoclinic. The calculation puts the total DFT energy (no corrections) at -214.9 eV per cell.

=====

No. 4
Material: U2Se3
Method: DFT, PBE
State: optimized geometry

Cell: 11.059 3.958 11.054 Å, 90.00 90.00 90.00°
Fractional positions:
U1 0.014 0.250 0.183
U2 0.189 0.250 0.511
U3 0.311 0.750 0.011
U4 0.486 0.750 0.683
U5 0.514 0.250 0.317
U6 0.689 0.250 0.989
U7 0.811 0.750 0.489
U8 0.986 0.750 0.817
Se1 0.052 0.750 0.371
Se2 0.126 0.250 0.945
Se3 0.225 0.750 0.706
Se4 0.275 0.250 0.206
Se5 0.374 0.750 0.445
Se6 0.448 0.250 0.871
Se7 0.552 0.750 0.129
Se8 0.626 0.250 0.555
Se9 0.725 0.750 0.794
Se10 0.775 0.250 0.294
Se11 0.874 0.750 0.055
Se12 0.948 0.250 0.629

Values from the calculation:
The space group is Pnma. The spin magnetization comes out at 5.7 μB per formula unit. The crystal system is orthorhombic. The calculation puts the total DFT energy (no corrections) at -155.7 eV per cell.

=====

No. 5
Material: TmLuIn2Ni4
Method: DFT, PBE
State: optimized geometry

Cell: 3.968 5.071 6.958 Å, 90.00 90.00 90.00°
Fractional positions:
Tm1 0.000 0.000 0.000
Lu1 0.000 0.500 0.476
In1 0.500 0.000 0.377
In2 0.500 0.500 0.098
Ni1 0.000 0.000 0.621
Ni2 0.000 0.500 0.853
Ni3 0.500 0.251 0.736
Ni4 0.500 0.749 0.736

Values from the calculation:
The space group is Pmm2. The spin magnetization comes out at 0.0 μB per formula unit. The crystal system is orthorhombic. The calculation puts the total DFT energy (no corrections) at -40.5 eV per cell.

=====

No. 6
Material: NaHfSiIr
Method: DFT, PBE
State: optimized geometry

Cell: 6.347 6.347 6.347 Å, 90.00 90.00 90.00°
Fractional positions:
Na1 0.000 0.000 0.000
Na2 0.000 0.500 0.500
Na3 0.500 0.000 0.500
Na4 0.500 0.500 0.000
Hf1 0.250 0.250 0.750
Hf2 0.250 0.750 0.250
Hf3 0.750 0.250 0.250
Hf4 0.750 0.750 0.750
Si1 0.250 0.250 0.250
Si2 0.250 0.750 0.750
Si3 0.750 0.250 0.750
Si4 0.750 0.750 0.250
Ir1 0.000 0.000 0.500
Ir2 0.000 0.500 0.000
Ir3 0.500 0.000 0.000
Ir4 0.500 0.500 0.500

Values from the calculation:
The value obtained for the distance to the lowest polymorph of the same formula is 0.000 eV per atom. The space group is F-43m. The spin magnetization comes out at 0.0 μB per formula unit. The crystal system is cubic. The calculation puts the total DFT energy (no corrections) at -108.2 eV per cell.

=====

No. 7
Material: Lu2PbAu
Method: DFT, PBE
State: optimized geometry

Cell: 7.382 7.382 7.382 Å, 90.00 90.00 90.00°
Fractional positions:
Lu1 0.000 0.000 0.000
Lu2 0.000 0.500 0.500
Lu3 0.250 0.250 0.250
Lu4 0.250 0.750 0.750
Lu5 0.500 0.000 0.500
Lu6 0.500 0.500 0.000
Lu7 0.750 0.250 0.750
Lu8 0.750 0.750 0.250
Pb1 0.000 0.000 0.500
Pb2 0.000 0.500 0.000
Pb3 0.500 0.000 0.000
Pb4 0.500 0.500 0.500
Au1 0.250 0.250 0.750
Au2 0.250 0.750 0.250
Au3 0.750 0.250 0.250
Au4 0.750 0.750 0.750

Values from the calculation:
The space group is F-43m. The spin magnetization comes out at 0.0 μB per formula unit. The crystal system is cubic. The calculation puts the total DFT energy (no corrections) at -65.5 eV per cell.

=====

No. 8
Material: CsRbNpS3
Method: DFT, PBE
State: optimized geometry

Cell: 9.364 9.364 11.655 Å, 90.00 90.00 154.45°
Fractional positions:
Cs1 0.156 0.844 0.750
Cs2 0.844 0.156 0.250
Rb1 0.134 0.866 0.250
Rb2 0.866 0.134 0.750
Np1 0.500 0.500 0.000
Np2 0.500 0.500 0.500
S1 0.093 0.907 0.001
S2 0.093 0.907 0.499
S3 0.496 0.504 0.250
S4 0.504 0.496 0.750
S5 0.907 0.093 0.501
S6 0.907 0.093 0.999

Values from the calculation:
The space group is Cmcm. The spin magnetization comes out at 3.0 μB per formula unit. The crystal system is orthorhombic. The calculation puts the total DFT energy (no corrections) at -67.6 eV per cell.